Entry from the Alexandria database: an optimized crystal structure of PuTlIn2 (PBE).

## Properties
The formation enthalpy at 0 K is 32 meV per atom. Its space group is Fm-3m (225). The energy above the most stable polymorph in this dataset comes out at 180.7 meV per atom. As for the crystal system: cubic.

Cell lengths 5.377, 5.377, 5.377 Å; angles 60.00, 60.00, 60.00 degrees
Positions (direct):
Tl 0.500 0.500 0.500
In 0.250 0.250 0.250
In 0.750 0.750 0.750
Pu 0.000 0.000 0.000